Record 1
Compound: PdSe2I
Source: Alexandria
Functional: PBE
Structure: optimized geometry

Properties
For the distance to the lowest polymorph of the same formula, the calculation gives 6.93 kcal/mol of atoms. The value obtained for the uncorrected formation energy is 0.114 eV/atom.

Unit cell a=12.8870 b=12.8870 c=5.2240 alpha=90.00 beta=90.00 gamma=166.32
Sites, in units of the cell vectors:
Se: 0.1502 0.8498 0.2500
Se: 0.9582 0.0418 0.2500
Se: 0.0418 0.9582 0.7500
Se: 0.8498 0.1502 0.7500
Pd: 0.0540 0.9460 0.2500
Pd: 0.9460 0.0540 0.7500
I: 0.6749 0.3251 0.7500
I: 0.3251 0.6749 0.2500

Record 2
Compound: HoZnGa
Source: Alexandria
Functional: PBE
Structure: optimized geometry

Properties
For the energy of formation, the calculation gives -404 meV/atom.

Unit cell a=4.4999 b=4.4999 c=4.4999 alpha=60.00 beta=60.00 gamma=60.00
Sites, in units of the cell vectors:
Ga: 0.0000 0.0000 0.0000
Ho: 0.5000 0.5000 0.5000
Zn: 0.2500 0.2500 0.2500

Record 3
Compound: Ca6Cd23Pd
Source: Alexandria
Functional: PBE
Structure: optimized geometry

Properties
For the energy of formation, the calculation gives -248 meV/atom.

Unit cell a=10.0777 b=10.0777 c=10.0777 alpha=60.00 beta=60.00 gamma=60.00
Sites, in units of the cell vectors:
Cd: 0.0000 0.5000 0.0000
Cd: 0.0068 0.6644 0.6644
Cd: 0.0000 0.0000 0.0000
Cd: 0.5000 0.0000 0.5000
Cd: 0.6644 0.6644 0.0068
Cd: 0.8782 0.8782 0.8782
Cd: 0.3356 0.9932 0.3356
Cd: 0.3356 0.3356 0.3356
Cd: 0.5000 0.0000 0.0000
Cd: 0.1218 0.1218 0.1218
Cd: 0.1218 0.1218 0.6347
Cd: 0.8782 0.3653 0.8782
Cd: 0.1218 0.6347 0.1218
Cd: 0.8782 0.8782 0.3653
Cd: 0.9932 0.3356 0.3356
Cd: 0.6644 0.0068 0.6644
Cd: 0.3356 0.3356 0.9932
Cd: 0.6347 0.1218 0.1218
Cd: 0.5000 0.5000 0.0000
Cd: 0.0000 0.0000 0.5000
Cd: 0.6644 0.6644 0.6644
Cd: 0.0000 0.5000 0.5000
Cd: 0.3653 0.8782 0.8782
Ca: 0.7053 0.2947 0.7053
Ca: 0.7053 0.7053 0.2947
Ca: 0.2947 0.2947 0.7053
Ca: 0.2947 0.7053 0.2947
Ca: 0.7053 0.2947 0.2947
Ca: 0.2947 0.7053 0.7053
Pd: 0.5000 0.5000 0.5000

Quick rundown of E, same order as above: -26.51 -10.09 -45.69 eV/cell
Quick rundown of M_tot, same order as above: 0.00 0.00 0.00 μB per atom